(1)
MgTi2NbCo: optimized geometry, PBE.

extended XYZ file:
```
5
Lattice="-4.427 -1.417 0.342 0.072 -1.423 -4.963 1.456 -4.250 1.240" Properties=species:S:1:pos:R:3 pbc="T T T"
Ti -2.213 -0.708 0.171
Ti 0.728 -2.125 0.620
Mg 0.036 -0.712 -2.481
Nb 0.000 0.000 0.000
Co -1.449 -3.545 -1.690
```

* calculated formation energy: 1.318 eV/atom
* space group: P4/mmm (123)
* density of states at the Fermi level: 5.59 states/eV/cell

---

(2)
NbGaFe: optimized geometry, PBE.

extended XYZ file:
```
6
Lattice="4.347 -0.072 -2.392 -2.891 4.032 -0.090 0.033 0.072 4.961" Properties=species:S:1:pos:R:3 pbc="T T T"
Ga -1.445 2.016 -0.045
Ga 0.744 2.016 1.240
Nb 0.754 0.549 3.731
Nb 0.734 3.483 -1.252
Fe 2.190 0.000 1.285
Fe -1.429 2.052 2.436
```

* calculated formation energy: -0.279 eV/atom
* space group: Imma (74)
* density of states at the Fermi level: 4.92 states/eV/cell

---

(3)
NaCd2O3: optimized geometry, PBE.

extended XYZ file:
```
12
Lattice="3.215 0.001 0.000 -1.605 6.240 -0.001 0.000 -0.002 11.935" Properties=species:S:1:pos:R:3 pbc="T T T"
Na 1.604 4.720 8.950
Na 0.006 1.521 2.984
Cd 0.006 4.722 2.983
Cd 1.605 1.518 8.952
Cd 1.610 6.242 -0.001
Cd 0.000 -0.001 5.967
O 1.613 3.289 2.984
O 1.608 0.132 1.471
O -0.003 2.951 8.951
O 1.608 0.132 4.496
O 0.003 6.108 7.438
O 0.003 6.108 10.463
```

* formation energy (no corrections): -0.84 eV/atom
* space group: P2_1/m (11)
* density of states at the Fermi level: 10.59 states/eV/cell

---

(4)
Pu12Ir5Pt2: optimized geometry, PBE.

extended XYZ file:
```
19
Lattice="-1.135 -4.034 -4.251 0.672 -3.311 7.153 -9.407 5.905 -3.092" Properties=species:S:1:pos:R:3 pbc="T T T"
Ir -1.031 -3.597 3.688
Ir -4.704 2.952 -1.546
Ir -8.838 2.157 -3.879
Ir -6.784 0.389 1.442
Ir -3.085 -1.829 -1.632
Pu -7.748 3.305 1.024
Pu -4.452 -1.717 0.801
Pu -5.622 -1.688 3.102
Pu -1.555 -2.731 0.908
Pu -3.906 0.224 2.846
Pu -2.163 1.219 -0.579
Pu -5.418 0.277 -0.991
Pu -2.122 -4.745 -1.215
Pu -4.248 0.248 -3.292
Pu -8.314 1.291 -1.098
Pu -7.707 -2.659 0.389
Pu -5.964 -1.664 -3.037
Pt -0.289 -1.027 -1.083
Pt -0.846 -3.006 -3.169
```

* calculated formation energy: -0.154 eV/atom
* space group: C2/m (12)
* density of states at the Fermi level: 75.92 states/eV/cell

---

(5)
PmDyGaN3: optimized geometry, PBE.

extended XYZ file:
```
12
Lattice="-1.342 -0.491 3.139 -3.159 -6.116 -2.307 6.540 -3.139 2.304" Properties=species:S:1:pos:R:3 pbc="T T T"
N 3.387 -6.494 1.380
N 0.339 -6.783 0.032
N -2.842 -6.155 0.665
N -1.348 -3.252 1.758
N 1.701 -2.963 3.106
N 4.881 -3.591 2.472
Pm 1.740 -8.009 2.334
Pm 0.299 -1.737 0.804
Ga -1.240 -7.089 1.204
Ga 3.279 -2.658 1.933
Dy 3.355 -5.235 3.458
Dy -1.316 -4.511 -0.320
```

* formation energy (no corrections): -0.98 eV/atom
* space group: P2_1/m (11)

---

(6)
MgRe2Pt: optimized geometry, PBE.

extended XYZ file:
```
4
Lattice="5.097 -0.003 0.000 -2.420 4.486 0.000 0.000 0.000 2.705" Properties=species:S:1:pos:R:3 pbc="T T T"
Re 1.338 2.241 0.000
Re 0.000 0.000 0.000
Pt -1.210 2.243 1.352
Mg 2.548 -0.002 1.352
```

* calculated formation energy: 0.152 eV/atom
* space group: Cmmm (65)
* density of states at the Fermi level: 3.97 states/eV/cell

---

(7)
HfMn3Tl: optimized geometry, PBE.

extended XYZ file:
```
5
Lattice="4.859 0.000 0.000 0.000 4.859 0.000 0.000 0.000 4.859" Properties=species:S:1:pos:R:3 pbc="T T T"
Mn 0.000 2.429 0.000
Mn 2.429 0.000 0.000
Mn 0.000 0.000 2.429
Tl 2.429 2.429 2.429
Hf 0.000 0.000 0.000
```

* calculated formation energy: 1.269 eV/atom
* space group: Pm-3m (221)
* density of states at the Fermi level: 5.16 states/eV/cell

---

(8)
K2CaTlAs: optimized geometry, PBE.

extended XYZ file:
```
5
Lattice="-0.206 -5.430 -4.254 4.732 1.406 -2.024 3.181 -3.851 4.762" Properties=species:S:1:pos:R:3 pbc="T T T"
K -0.103 -2.715 -2.127
K 1.590 -1.926 2.381
As 2.366 0.703 -1.012
Tl 3.853 -3.938 -0.758
Ca 0.000 0.000 0.000
```

* calculated formation energy: 0.121 eV/atom
* space group: P4/mmm (123)
* density of states at the Fermi level: 1.49 states/eV/cell

---

(9)
La2Pm4Dy2Y: optimized geometry, PBE.

extended XYZ file:
```
9
Lattice="-0.764 1.880 -3.067 4.398 -7.819 -3.684 -9.537 -1.030 1.745" Properties=species:S:1:pos:R:3 pbc="T T T"
Pm -3.440 0.330 -1.146
Pm -1.701 -2.904 -1.356
Pm -2.462 -7.298 -3.860
Pm -4.202 -4.064 -3.650
La 2.664 -4.595 -3.480
La -8.566 -2.373 -1.526
Dy -0.742 -4.250 -4.626
Dy -5.160 -2.718 -0.380
Y 0.000 0.000 0.000
```

* calculated formation energy: 0.006 eV/atom
* space group: C2/m (12)
* density of states at the Fermi level: 12.64 states/eV/cell

---

(10)
PrTmThTl: optimized geometry, PBE.

extended XYZ file:
```
4
Lattice="5.565 0.000 0.000 2.783 4.820 0.000 2.783 1.607 4.544" Properties=species:S:1:pos:R:3 pbc="T T T"
Th 2.783 1.607 1.136
Pr 8.348 4.820 3.408
Tl 0.000 0.000 0.000
Tm 5.565 3.213 2.272
```

* calculated formation energy: 0.017 eV/atom
* space group: F-43m (216)
* density of states at the Fermi level: 5.48 states/eV/cell

---

(11)
K3PuBe2O6: optimized geometry, PBE.

extended XYZ file:
```
12
Lattice="5.680 0.000 0.000 -2.840 4.919 0.000 0.000 0.000 6.929" Properties=species:S:1:pos:R:3 pbc="T T T"
Be 2.840 1.640 4.772
Be 0.000 3.280 2.157
O 4.185 0.864 4.765
O 1.344 4.056 2.164
O 0.000 1.727 2.164
O 2.840 3.192 4.765
O -1.344 4.056 2.164
O 1.496 0.864 4.765
K 0.000 0.000 0.000
K 0.000 3.280 5.108
K 2.840 1.640 1.821
Pu 0.000 0.000 3.465
```

* formation energy (no corrections): -2.27 eV/atom
* space group: P-3m1 (164)
* density of states at the Fermi level: 9.68 states/eV/cell

---

(12)
GePSe3: optimized geometry, PBE.

extended XYZ file:
```
10
Lattice="-2.536 -2.411 -0.403 5.375 -2.953 -0.762 -2.731 0.470 14.362" Properties=species:S:1:pos:R:3 pbc="T T T"
Se 1.369 -2.757 7.869
Se -1.262 -2.137 5.328
Se 1.427 -4.451 2.254
Se 1.067 -1.214 0.550
Se -0.960 -3.679 12.647
Se -1.320 -0.442 10.943
P 0.008 -4.126 9.237
P 0.100 -0.767 3.960
Ge -2.696 -1.871 12.754
Ge 2.803 -3.022 0.443
```

* formation energy (no corrections): -0.04 eV/atom
* space group: C2/m (12)
* density of states at the Fermi level: 1.77 states/eV/cell

---

| no. | E (eV for the cell shown) |
| --- | --- |
| 1 | -28.0 |
| 2 | -44.8 |
| 3 | -46.1 |
| 4 | -231.3 |
| 5 | -86.5 |
| 6 | -31.9 |
| 7 | -33.5 |
| 8 | -10.6 |
| 9 | -44.5 |
| 10 | -19.0 |
| 11 | -82.1 |
| 12 | -41.3 |